(1)
DFT (PBE) results for crystalline AcReSe at its relaxed geometry.

Cell lengths 4.7207, 4.1346, 8.5713 Å; angles 90.00, 103.21, 90.00 degrees
Last column: nearest neighbours and their distance in Å.
Fractional coordinates of all 6 atoms:
Ac (0.1133, 0.2500, 0.2349)  6 Re 3.26-3.56, 5 Se 3.26-3.42
Ac (0.8867, 0.7500, 0.7651)  6 Re 3.26-3.56, 5 Se 3.26-3.42
Re (0.4998, 0.2500, 0.9242)  2 Re 2.44, 1 Se 2.48
Re (0.5002, 0.7500, 0.0758)  2 Re 2.44, 1 Se 2.48
Se (0.3067, 0.2500, 0.6294)  1 Re 2.48
Se (0.6933, 0.7500, 0.3706)  1 Re 2.48

SG	P2_1/m, No. 11
raw formation energy	-0.65	eV/atom
magnetic moment	0.00	μB/cell

=====

(2)
DFT (PBE) results for crystalline MnPb2N at its relaxed geometry.

Cell lengths 6.0924, 6.0924, 6.0924 Å; angles 111.29, 111.29, 105.90 degrees
Last column: nearest neighbours and their distance in Å.
Fractional coordinates of all 8 atoms:
Mn (0.0000, 0.0000, 0.0000)  4 Pb 2.88
Mn (0.7500, 0.2500, 0.5000)  4 Pb 2.88
Pb (0.1836, 0.1250, 0.5586)  2 N 2.35
Pb (0.3750, 0.8164, 0.9414)  2 N 2.35
Pb (0.5664, 0.6250, 0.4414)  2 N 2.35
Pb (0.8750, 0.4336, 0.0586)  2 N 2.35
N (0.2500, 0.7500, 0.5000)  4 Pb 2.35
N (0.5000, 0.5000, 0.0000)  4 Pb 2.35

SG	I-42d, No. 122
raw formation energy	0.82	eV/atom
magnetic moment	8.12	μB/cell

=====

(3)
DFT (PBE) results for crystalline TiCo2Rh2 at its relaxed geometry.

Cell lengths 6.1605, 6.1605, 3.5297 Å; angles 90.00, 90.00, 90.00 degrees
Last column: nearest neighbours and their distance in Å.
Fractional coordinates of all 10 atoms:
Ti (0.0000, 0.0000, 0.0000)  4 Co 2.41
Ti (0.5000, 0.5000, 0.0000)  4 Co 2.41
Co (0.1318, 0.3682, 0.0000)  1 Co 2.30, 2 Ti 2.41, 6 Rh 2.50-2.55
Co (0.3682, 0.8682, 0.0000)  1 Co 2.30, 2 Ti 2.41, 6 Rh 2.50-2.55
Co (0.6318, 0.1318, 0.0000)  1 Co 2.30, 2 Ti 2.41, 6 Rh 2.50-2.55
Co (0.8682, 0.6318, 0.0000)  1 Co 2.30, 2 Ti 2.41, 6 Rh 2.50-2.55
Rh (0.1646, 0.6646, 0.5000)  6 Co 2.50-2.55
Rh (0.3354, 0.1646, 0.5000)  6 Co 2.50-2.55
Rh (0.6646, 0.8354, 0.5000)  6 Co 2.50-2.55
Rh (0.8354, 0.3354, 0.5000)  6 Co 2.50-2.55

E_form	-0.118	eV/atom
SG	P4/mbm, No. 127
magnetic moment	3.75	μB/cell

=====

(4)
DFT (PBE) results for crystalline Tb2Tm2Se2S3 at its relaxed geometry.

Cell lengths 8.2346, 8.2346, 8.2346 Å; angles 142.53, 142.53, 54.03 degrees
Last column: nearest neighbours and their distance in Å.
Fractional coordinates of all 9 atoms:
Tb (0.2011, 0.2011, 0.0000)  5 S 2.74-2.95, 1 Se 2.88
Tb (0.7989, 0.7989, 0.0000)  5 S 2.74-2.95, 1 Se 2.88
Tm (0.0000, 0.5000, 0.5000)  2 S 2.64
Tm (0.5000, 0.0000, 0.5000)  2 S 2.64
Se (0.3973, 0.3973, 0.0000)  1 Tb 2.88, 1 Se 3.01, 4 Tm 3.04
Se (0.6027, 0.6027, 0.0000)  1 Tb 2.88, 1 Se 3.01, 4 Tm 3.04
S (0.0000, 0.0000, 0.0000)  4 Tm 2.64, 2 Tb 2.95
S (0.2500, 0.7500, 0.5000)  4 Tb 2.74
S (0.7500, 0.2500, 0.5000)  4 Tb 2.74

SG	I4/mmm, No. 139
raw formation energy	-1.66	eV/atom
magnetic moment	0.00	μB/cell

=====

(5)
DFT (PBE) results for crystalline Gd2ErHg at its relaxed geometry.

Cell lengths 12.1353, 12.1353, 12.1353 Å; angles 16.63, 16.63, 16.63 degrees
Last column: nearest neighbours and their distance in Å.
Fractional coordinates of all 4 atoms:
Gd (0.0885, 0.0885, 0.0885)  1 Hg 3.18, 3 Er 3.46, 6 Gd 3.51
Gd (0.9115, 0.9115, 0.9115)  1 Hg 3.18, 3 Er 3.46, 6 Gd 3.51
Er (0.5000, 0.5000, 0.5000)  6 Gd 3.46, 6 Er 3.51
Hg (0.0000, 0.0000, 0.0000)  2 Gd 3.18, 6 Hg 3.51

E_form	0.101	eV/atom
SG	R-3m, No. 166
magnetic moment	14.84	μB/cell

=====

(6)
DFT (PBE) results for crystalline Ac2PuSb4Pt3 at its relaxed geometry.

Cell lengths 4.7500, 4.7500, 11.5883 Å; angles 90.00, 90.00, 90.00 degrees
Last column: nearest neighbours and their distance in Å.
Fractional coordinates of all 10 atoms:
Ac (0.0000, 0.5000, 0.2359)  8 Sb 3.59-3.62, 6 Pt 3.65-3.87, 2 Pu 3.87
Ac (0.5000, 0.0000, 0.7641)  8 Sb 3.59-3.62, 6 Pt 3.65-3.87, 2 Pu 3.87
Pu (0.0000, 0.0000, 0.5000)  4 Sb 2.98
Sb (0.0000, 0.0000, 0.0000)  4 Pt 2.71
Sb (0.0000, 0.5000, 0.6552)  3 Pt 2.68-2.98, 2 Pu 2.98
Sb (0.5000, 0.0000, 0.3448)  3 Pt 2.68-2.98, 2 Pu 2.98
Sb (0.5000, 0.5000, 0.0000)  4 Pt 2.71
Pt (0.0000, 0.5000, 0.8867)  5 Sb 2.68-2.71
Pt (0.5000, 0.0000, 0.1133)  5 Sb 2.68-2.71
Pt (0.5000, 0.5000, 0.5000)  4 Sb 2.98

SG	P-4m2, No. 115
raw formation energy	-0.78	eV/atom
magnetic moment	5.75	μB/cell

=====

(7)
DFT (PBE) results for crystalline NbNi10B3 at its relaxed geometry.

Cell lengths 7.4364, 7.4364, 7.4364 Å; angles 60.00, 60.00, 60.00 degrees
Last column: nearest neighbours and their distance in Å.
Fractional coordinates of all 28 atoms:
Nb (0.2500, 0.2500, 0.2500)  4 Ni 2.45
Nb (0.7500, 0.7500, 0.7500)  4 Ni 2.45
Ni (0.0000, 0.0000, 0.3391)  2 B 2.06
Ni (0.0000, 0.0000, 0.6609)  2 B 2.06
Ni (0.0000, 0.3391, 0.0000)  2 B 2.06
Ni (0.0000, 0.3391, 0.6609)  2 B 2.06
Ni (0.0000, 0.6609, 0.0000)  2 B 2.06
Ni (0.0000, 0.6609, 0.3391)  2 B 2.06
Ni (0.1531, 0.6156, 0.6156)  3 B 2.12
Ni (0.3391, 0.0000, 0.0000)  2 B 2.06
Ni (0.3391, 0.0000, 0.6609)  2 B 2.06
Ni (0.3391, 0.6609, 0.0000)  2 B 2.06
Ni (0.3844, 0.3844, 0.3844)  3 B 2.12
Ni (0.3844, 0.3844, 0.8469)  3 B 2.12
Ni (0.3844, 0.8469, 0.3844)  3 B 2.12
Ni (0.6156, 0.1531, 0.6156)  3 B 2.12
Ni (0.6156, 0.6156, 0.1531)  3 B 2.12
Ni (0.6156, 0.6156, 0.6156)  3 B 2.12
Ni (0.6609, 0.0000, 0.0000)  2 B 2.06
Ni (0.6609, 0.0000, 0.3391)  2 B 2.06
Ni (0.6609, 0.3391, 0.0000)  2 B 2.06
Ni (0.8469, 0.3844, 0.3844)  3 B 2.12
B (0.2672, 0.2672, 0.7328)  8 Ni 2.06-2.12
B (0.2672, 0.7328, 0.2672)  8 Ni 2.06-2.12
B (0.2672, 0.7328, 0.7328)  8 Ni 2.06-2.12
B (0.7328, 0.2672, 0.2672)  8 Ni 2.06-2.12
B (0.7328, 0.2672, 0.7328)  8 Ni 2.06-2.12
B (0.7328, 0.7328, 0.2672)  8 Ni 2.06-2.12

E_form	-0.276	eV/atom
SG	Fm-3m, No. 225
magnetic moment	0.00	μB/cell

=====

(8)
DFT (PBE) results for crystalline SbAs2PbC at its relaxed geometry.

Cell lengths 5.4095, 5.4095, 5.8844 Å; angles 90.00, 90.00, 90.00 degrees
Last column: nearest neighbours and their distance in Å.
Fractional coordinates of all 5 atoms:
Sb (0.0000, 0.0000, 0.0000)  2 Pb 2.94
As (0.0000, 0.5000, 0.5000)  2 Pb 2.70
As (0.5000, 0.0000, 0.5000)  2 Pb 2.70
Pb (0.0000, 0.0000, 0.5000)  4 As 2.70, 2 Sb 2.94
C (0.5000, 0.5000, 0.0000)  4 Sb 3.83, 8 As 4.00

SG	P4/mmm, No. 123
raw formation energy	2.40	eV/atom
magnetic moment	1.19	μB/cell

=====

Look up the magnetic moment of the eighth one. 1.19 μB/cell